# V2NF

V2NF after structural relaxation (PBE+U, Alexandria via LeMat-Bulk).

The structure in POSCAR format:
```
V2NF
1.0
0.000 2.678 2.678
2.678 0.000 2.678
2.678 2.678 0.000
V N F
2 1 1
Direct
0.250 0.250 0.250
0.750 0.750 0.750
0.000 0.000 0.000
0.500 0.500 0.500
```

Summary:
For the energy above the lowest structure with this stoichiometry, the calculation gives 0.7412 eV/atom. The value obtained for the total energy is -0.455 Ry/atom.

***

# VNF2

VNF2 after structural relaxation (PBE+U, Alexandria via LeMat-Bulk).

The structure in POSCAR format:
```
VNF2
1.0
1.673 0.966 8.722
-1.673 0.966 8.722
0.000 -1.932 8.722
V N F
1 1 2
Direct
0.000 0.000 0.000
0.500 0.500 0.500
0.068 0.068 0.068
0.932 0.932 0.932
```

Summary:
For the energy above the lowest structure with this stoichiometry, the calculation gives 0.6921 eV/atom. The value obtained for the total energy is -0.354 Ry/atom.

***

# VWN2F

VWN2F after structural relaxation (PBE+U, Alexandria via LeMat-Bulk).

The structure in POSCAR format:
```
VWN2F
1.0
3.952 0.000 0.000
0.000 3.952 0.000
0.000 0.000 3.755
V W N F
1 1 2 1
Direct
0.000 0.000 0.000
0.500 0.500 0.500
0.000 0.500 0.000
0.500 0.000 0.000
0.000 0.000 0.500
```

Summary:
For the energy above the lowest structure with this stoichiometry, the calculation gives 0.1881 eV/atom. The value obtained for the total energy is -0.479 Ry/atom.

***

# VWN2F

VWN2F after structural relaxation (PBE+U, Alexandria via LeMat-Bulk).

The structure in POSCAR format:
```
VWN2F
1.0
4.041 0.000 0.000
0.000 4.041 0.000
0.000 0.000 4.045
V W N F
1 1 2 1
Direct
0.000 0.000 0.000
0.500 0.500 0.500
0.000 0.500 0.500
0.500 0.000 0.500
0.500 0.500 0.000
```

Summary:
For the energy above the lowest structure with this stoichiometry, the calculation gives 0.0000 eV/atom. The value obtained for the total energy is -0.493 Ry/atom.